Record 1
Entry from Alexandria via LeMat-Bulk: a geometry-optimized CaMn2O4 structure (PBE with a Hubbard U).

```
data_CaMn2O4
_chemical_formula_sum 'Ca4 Mn8 O16'
_cell_length_a 3.147
_cell_length_b 9.231
_cell_length_c 10.731
_cell_angle_alpha 90.00
_cell_angle_beta 90.00
_cell_angle_gamma 90.00
_symmetry_space_group_name_H-M 'P 1'
_symmetry_Int_Tables_number 1
_symmetry_space_group_name_Hall 'P 1'
loop_
_atom_site_label
_atom_site_type_symbol
_atom_site_fract_x
_atom_site_fract_y
_atom_site_fract_z
O1 O 0.250 0.984 0.279
O2 O 0.750 0.016 0.721
O3 O 0.250 0.386 0.971
O4 O 0.250 0.587 0.570
O5 O 0.250 0.484 0.221
O6 O 0.250 0.087 0.930
O7 O 0.750 0.114 0.471
O8 O 0.750 0.219 0.165
O9 O 0.250 0.886 0.529
O10 O 0.750 0.614 0.029
O11 O 0.750 0.413 0.430
O12 O 0.750 0.913 0.070
O13 O 0.750 0.719 0.335
O14 O 0.750 0.516 0.779
O15 O 0.250 0.281 0.665
O16 O 0.250 0.781 0.835
Mn1 Mn 0.750 0.435 0.610
Mn2 Mn 0.750 0.421 0.105
Mn3 Mn 0.250 0.565 0.390
Mn4 Mn 0.750 0.921 0.395
Mn5 Mn 0.250 0.079 0.605
Mn6 Mn 0.750 0.935 0.890
Mn7 Mn 0.250 0.065 0.110
Mn8 Mn 0.250 0.579 0.895
Ca1 Ca 0.750 0.256 0.843
Ca2 Ca 0.250 0.244 0.343
Ca3 Ca 0.250 0.744 0.157
Ca4 Ca 0.750 0.756 0.657
```

Calculated values
Crystal system: orthorhombic
DOS(E_F) in states/eV/cell: 3.159
Space-group type: Pnma, No. 62
Relative energy among the computed polymorphs in eV/atom: 0.041

=====

Record 2
Entry from Alexandria via LeMat-Bulk: a geometry-optimized CaMn2O4 structure (PBE with a Hubbard U).

```
data_CaMn2O4
_chemical_formula_sum 'Ca2 Mn4 O8'
_cell_length_a 6.318
_cell_length_b 6.318
_cell_length_c 6.318
_cell_angle_alpha 119.68
_cell_angle_beta 119.68
_cell_angle_gamma 90.55
_symmetry_space_group_name_H-M 'P 1'
_symmetry_Int_Tables_number 1
_symmetry_space_group_name_Hall 'P 1'
loop_
_atom_site_label
_atom_site_type_symbol
_atom_site_fract_x
_atom_site_fract_y
_atom_site_fract_z
Mn1 Mn 0.375 0.625 0.750
Mn2 Mn 0.375 0.625 0.250
Mn3 Mn 0.875 0.625 0.250
Mn4 Mn 0.375 0.125 0.750
O1 O 0.636 0.456 0.280
O2 O 0.206 0.426 0.321
O3 O 0.574 0.894 0.780
O4 O 0.106 0.886 0.679
O5 O 0.114 0.794 0.220
O6 O 0.644 0.364 0.821
O7 O 0.176 0.356 0.720
O8 O 0.544 0.824 0.179
Ca1 Ca 0.000 0.000 0.000
Ca2 Ca 0.750 0.250 0.500
```

Calculated values
Crystal system: tetragonal
Space-group type: I4_1/a, No. 88
Relative energy among the computed polymorphs in eV/atom: 0.030

=====

Record 3
Entry from Alexandria via LeMat-Bulk: a geometry-optimized CaMn8O16 structure (PBE with a Hubbard U).

```
data_CaMn8O16
_chemical_formula_sum 'Ca2 Mn16 O32'
_cell_length_a 5.951
_cell_length_b 9.486
_cell_length_c 10.244
_cell_angle_alpha 87.97
_cell_angle_beta 90.00
_cell_angle_gamma 90.00
_symmetry_space_group_name_H-M 'P 1'
_symmetry_Int_Tables_number 1
_symmetry_space_group_name_Hall 'P 1'
loop_
_atom_site_label
_atom_site_type_symbol
_atom_site_fract_x
_atom_site_fract_y
_atom_site_fract_z
O1 O 0.117 0.361 0.716
O2 O 0.378 0.149 0.789
O3 O 0.879 0.199 0.546
O4 O 0.380 0.194 0.547
O5 O 0.874 0.461 0.148
O6 O 0.124 0.042 0.365
O7 O 0.121 0.310 0.347
O8 O 0.655 0.360 0.708
O9 O 0.890 0.184 0.170
O10 O 0.376 0.546 0.865
O11 O 0.625 0.307 0.337
O12 O 0.375 0.807 0.837
O13 O 0.110 0.684 0.670
O14 O 0.126 0.961 0.648
O15 O 0.888 0.798 0.470
O16 O 0.883 0.861 0.216
O17 O 0.879 0.810 0.847
O18 O 0.121 0.699 0.046
O19 O 0.622 0.649 0.289
O20 O 0.345 0.860 0.208
O21 O 0.648 0.686 0.670
O22 O 0.624 0.046 0.365
O23 O 0.112 0.298 0.970
O24 O 0.352 0.186 0.170
O25 O 0.375 0.807 0.460
O26 O 0.118 0.644 0.293
O27 O 0.625 0.307 0.960
O28 O 0.365 0.460 0.146
O29 O 0.635 0.960 0.646
O30 O 0.620 0.694 0.047
O31 O 0.876 0.542 0.865
O32 O 0.882 0.144 0.793
Ca1 Ca 0.118 0.008 0.067
Ca2 Ca 0.882 0.508 0.567
Mn1 Mn 0.876 0.339 0.847
Mn2 Mn 0.379 0.823 0.645
Mn3 Mn 0.628 0.674 0.861
Mn4 Mn 0.372 0.174 0.361
Mn5 Mn 0.126 0.672 0.859
Mn6 Mn 0.129 0.159 0.665
Mn7 Mn 0.881 0.833 0.653
Mn8 Mn 0.368 0.659 0.165
Mn9 Mn 0.632 0.159 0.665
Mn10 Mn 0.375 0.348 0.840
Mn11 Mn 0.621 0.323 0.145
Mn12 Mn 0.625 0.848 0.340
Mn13 Mn 0.119 0.333 0.153
Mn14 Mn 0.871 0.659 0.165
Mn15 Mn 0.124 0.839 0.347
Mn16 Mn 0.874 0.172 0.359
```

Calculated values
Crystal system: monoclinic
DFT total energy in eV for the cell shown: -359.49
DOS(E_F) in states/eV/cell: 5.403
Space-group type: Pc, No. 7

=====

Record 4
Entry from Alexandria via LeMat-Bulk: a geometry-optimized CaMn2O4 structure (PBE with a Hubbard U).

```
data_CaMn2O4
_chemical_formula_sum 'Ca2 Mn4 O8'
_cell_length_a 6.855
_cell_length_b 6.855
_cell_length_c 10.570
_cell_angle_alpha 55.91
_cell_angle_beta 55.91
_cell_angle_gamma 24.72
_symmetry_space_group_name_H-M 'P 1'
_symmetry_Int_Tables_number 1
_symmetry_space_group_name_Hall 'P 1'
loop_
_atom_site_label
_atom_site_type_symbol
_atom_site_fract_x
_atom_site_fract_y
_atom_site_fract_z
O1 O 0.785 0.785 0.857
O2 O 0.537 0.537 0.637
O3 O 0.949 0.949 0.923
O4 O 0.463 0.463 0.363
O5 O 0.247 0.247 0.623
O6 O 0.215 0.215 0.143
O7 O 0.753 0.753 0.377
O8 O 0.051 0.051 0.077
Ca1 Ca 0.626 0.626 0.831
Ca2 Ca 0.374 0.374 0.169
Mn1 Mn 0.140 0.140 0.513
Mn2 Mn 0.374 0.374 0.869
Mn3 Mn 0.860 0.860 0.487
Mn4 Mn 0.626 0.626 0.131
```

Calculated values
Crystal system: monoclinic
Space-group type: C2/m, No. 12
Relative energy among the computed polymorphs in eV/atom: 0.107

=====

Record 5
Entry from Alexandria via LeMat-Bulk: a geometry-optimized Ca3Mn2O7 structure (PBE with a Hubbard U).

```
data_Ca3Mn2O7
_chemical_formula_sum 'Ca3 Mn2 O7'
_cell_length_a 10.050
_cell_length_b 10.050
_cell_length_c 10.050
_cell_angle_alpha 158.25
_cell_angle_beta 158.25
_cell_angle_gamma 30.96
_symmetry_space_group_name_H-M 'P 1'
_symmetry_Int_Tables_number 1
_symmetry_space_group_name_Hall 'P 1'
loop_
_atom_site_label
_atom_site_type_symbol
_atom_site_fract_x
_atom_site_fract_y
_atom_site_fract_z
Ca1 Ca 0.316 0.316 0.000
Ca2 Ca 0.500 0.500 0.000
Ca3 Ca 0.684 0.684 0.000
O1 O 0.598 0.098 0.500
O2 O 0.402 0.902 0.500
O3 O 0.000 0.000 0.000
O4 O 0.198 0.198 0.000
O5 O 0.902 0.402 0.500
O6 O 0.802 0.802 0.000
O7 O 0.098 0.598 0.500
Mn1 Mn 0.900 0.900 0.000
Mn2 Mn 0.100 0.100 0.000
```

Calculated values
Crystal system: tetragonal
DOS(E_F) in states/eV/cell: 2.654
Space-group type: I4/mmm, No. 139
Relative energy among the computed polymorphs in eV/atom: 0.041

=====

Record 6
Entry from Alexandria via LeMat-Bulk: a geometry-optimized Ca6MnO8 structure (PBE with a Hubbard U).

```
data_Ca6MnO8
_chemical_formula_sum 'Ca6 Mn1 O8'
_cell_length_a 6.700
_cell_length_b 6.700
_cell_length_c 6.700
_cell_angle_alpha 60.00
_cell_angle_beta 60.00
_cell_angle_gamma 60.00
_symmetry_space_group_name_H-M 'P 1'
_symmetry_Int_Tables_number 1
_symmetry_space_group_name_Hall 'P 1'
loop_
_atom_site_label
_atom_site_type_symbol
_atom_site_fract_x
_atom_site_fract_y
_atom_site_fract_z
Ca1 Ca 0.000 0.000 0.500
Ca2 Ca 0.500 0.000 0.000
Ca3 Ca 0.000 0.500 0.000
Ca4 Ca 0.500 0.000 0.500
Ca5 Ca 0.500 0.500 0.000
Ca6 Ca 0.000 0.500 0.500
Mn1 Mn 0.000 0.000 0.000
O1 O 0.750 0.750 0.750
O2 O 0.212 0.788 0.788
O3 O 0.788 0.212 0.788
O4 O 0.212 0.788 0.212
O5 O 0.250 0.250 0.250
O6 O 0.788 0.788 0.212
O7 O 0.212 0.212 0.788
O8 O 0.788 0.212 0.212
```

Calculated values
Crystal system: cubic
DFT total energy in eV for the cell shown: -99.31
DOS(E_F) in states/eV/cell: 0.000
Space-group type: Fm-3m, No. 225